This record from Alexandria describes crystalline BaCu2HgSe at its relaxed geometry. The functional is GGA-PBE.

Computed properties:
Total DFT energy (no corrections), eV per cell: -13.67
Crystal system: tetragonal
ΔE_f (raw), meV per atom: 47

Cell lengths 4.863, 4.863, 6.821 Å; angles 90.00, 90.00, 90.00 degrees
Fractional coordinates of all 5 atoms:
1 Ba 0.000 0.000 0.000
2 Cu 0.000 0.500 0.500
3 Cu 0.500 0.000 0.500
4 Hg 0.000 0.000 0.500
5 Se 0.500 0.500 0.000



This record from Alexandria describes crystalline Tm3Sn2Hg at its relaxed geometry. The functional is GGA-PBE.

Computed properties:
Total DFT energy (no corrections), eV per cell: -49.58
Energy above the most stable polymorph in this dataset, eV/atom: 0.022
Energy relative to the elements, meV/atom: -512
Crystal system: monoclinic

Cell lengths 8.598, 8.598, 6.354 Å; angles 101.47, 101.47, 42.48 degrees
Fractional coordinates of all 12 atoms:
1 Tm 0.133 0.867 0.750
2 Tm 0.222 0.438 0.405
3 Tm 0.438 0.222 0.905
4 Tm 0.562 0.778 0.095
5 Tm 0.778 0.562 0.595
6 Tm 0.867 0.133 0.250
7 Sn 0.057 0.266 0.057
8 Sn 0.266 0.057 0.557
9 Sn 0.734 0.943 0.443
10 Sn 0.943 0.734 0.943
11 Hg 0.381 0.619 0.250
12 Hg 0.619 0.381 0.750



This record from Alexandria describes crystalline MnReAsPd2 at its relaxed geometry. The functional is GGA-PBE.

Computed properties:
Total DFT energy (no corrections), eV per cell: -31.69
Energy relative to the elements, meV/atom: 992
Crystal system: tetragonal

Cell lengths 4.908, 4.908, 4.635 Å; angles 90.00, 90.00, 90.00 degrees
Fractional coordinates of all 5 atoms:
1 Mn 0.000 0.000 0.000
2 Re 0.500 0.500 0.500
3 As 0.500 0.500 0.000
4 Pd 0.000 0.500 0.500
5 Pd 0.500 0.000 0.500



This record from Alexandria describes crystalline YCoSi at its relaxed geometry. The functional is GGA-PBE.

Computed properties:
Total DFT energy (no corrections), eV per cell: -20.08
Crystal system: tetragonal
ΔE_f (raw), meV per atom: -362

Cell lengths 5.656, 5.656, 5.656 Å; angles 148.35, 148.35, 45.37 degrees
Fractional coordinates of all 3 atoms:
1 Y 0.000 0.000 0.000
2 Co 0.302 0.302 0.000
3 Si 0.707 0.707 0.000



This record from Alexandria describes crystalline NaIn2Ge at its relaxed geometry. The functional is GGA-PBE.

Computed properties:
Total DFT energy (no corrections), eV per cell: -11.38
Energy relative to the elements, meV/atom: 7
Crystal system: tetragonal

Cell lengths 4.502, 4.502, 4.699 Å; angles 90.00, 90.00, 90.00 degrees
Fractional coordinates of all 4 atoms:
1 Na 0.000 0.000 0.000
2 In 0.000 0.500 0.500
3 In 0.500 0.000 0.500
4 Ge 0.500 0.500 0.000



This record from Alexandria describes crystalline Mn2FeCo at its relaxed geometry. The functional is GGA-PBE.

Computed properties:
Total DFT energy (no corrections), eV per cell: -33.47
Energy above the most stable polymorph in this dataset, eV/atom: 0.099
Energy relative to the elements, meV/atom: 109
Crystal system: orthorhombic

Cell lengths 4.705, 4.705, 4.705 Å; angles 145.38, 129.53, 62.65 degrees
Fractional coordinates of all 4 atoms:
1 Mn 0.000 0.000 0.000
2 Mn 0.753 0.253 0.500
3 Fe 0.501 0.501 0.000
4 Co 0.251 0.751 0.500



This record from Alexandria describes crystalline NiMo2Rh at its relaxed geometry. The functional is GGA-PBE.

Computed properties:
Total DFT energy (no corrections), eV per cell: -34.86
Energy above the most stable polymorph in this dataset, eV/atom: 0.099
Energy relative to the elements, meV/atom: -15
Crystal system: tetragonal

Cell lengths 2.704, 2.704, 7.818 Å; angles 90.00, 90.00, 90.00 degrees
Fractional coordinates of all 4 atoms:
1 Ni 0.000 0.000 0.000
2 Mo 0.000 0.000 0.483
3 Mo 0.500 0.500 0.772
4 Rh 0.500 0.500 0.239



This record from Alexandria describes crystalline KEr6Se8 at its relaxed geometry. The functional is GGA-PBE.

Computed properties:
Total DFT energy (no corrections), eV per cell: -82.03
Crystal system: trigonal
ΔE_f (raw), meV per atom: -1712

Cell lengths 10.875, 10.875, 4.146 Å; angles 90.00, 90.00, 120.00 degrees
Fractional coordinates of all 15 atoms:
1 K 0.000 0.000 0.000
2 Er 0.138 0.655 0.750
3 Er 0.345 0.482 0.750
4 Er 0.482 0.138 0.250
5 Er 0.518 0.862 0.750
6 Er 0.655 0.518 0.250
7 Er 0.862 0.345 0.250
8 Se 0.044 0.355 0.751
9 Se 0.311 0.956 0.751
10 Se 0.333 0.667 0.250
11 Se 0.355 0.311 0.249
12 Se 0.645 0.689 0.751
13 Se 0.667 0.333 0.750
14 Se 0.689 0.044 0.249
15 Se 0.956 0.645 0.249